Computed, not measured: a relaxed Cd2CoSi2 crystal at the PBE level of DFT.

Properties
E above lowest polymorph: 0.000 eV/atom
formation energy without anion corrections: 141 meV/atom
uncorrected energy: -38.154 eV/cell
magnetic moment: 0.0 μB/f.u.
calculated density: 6.67 g cm⁻³

POSCAR file:
```
Cd2CoSi2
1.0
6.004 0.000 0.000
0.000 6.004 0.000
0.000 0.000 4.692
Cd Co Si
4 2 4
direct
0.189 0.311 0.000
0.311 0.811 0.000
0.689 0.189 0.000
0.811 0.689 0.000
0.000 0.000 0.500
0.500 0.500 0.500
0.142 0.642 0.500
0.358 0.142 0.500
0.642 0.858 0.500
0.858 0.358 0.500
```